# 1
The following is a DFT calculation (PBE) of a relaxed NaMg4Hg2 crystal.

Lattice parameters (Å, degrees): 8.4606 8.4606 4.8013 90.00 90.00 90.00
With the nearest neighbours (Å) after each atom.
Space group P4_2/mnm (No. 136)
Inequivalent atoms, fractional coordinates:
Na 0.0000 0.0000 0.0000 (multiplicity 2)  6 Hg 3.35-3.57, 4 Mg 3.61
Mg 0.1000 0.3524 0.5000 (multiplicity 8)  3 Hg 2.91-2.93, 6 Mg 3.02-3.21
Hg 0.2204 0.7796 0.5000 (multiplicity 4)  6 Mg 2.91-2.93

Results
Total energy: -9.3 eV/f.u.
Volume: 343.7 Å³/cell
Energy relative to the elements: -1.045 eV per formula unit

# 2
The following is a DFT calculation (PBE) of a relaxed Nd4Ho2ErSc crystal.

Lattice parameters (Å, degrees): 5.0946 5.1055 9.8597 90.00 90.00 90.00
With the nearest neighbours (Å) after each atom.
Space group Pmmm (No. 47)
Inequivalent atoms, fractional coordinates:
Nd 0.0000 0.0000 0.2453 (multiplicity 2)  2 Sc 3.51, 4 Ho 3.52-3.58, 2 Er 3.58, 4 Nd 3.61
Nd 0.5000 0.5000 0.2456 (multiplicity 2)  4 Ho 3.51-3.58, 2 Sc 3.52, 2 Er 3.58, 4 Nd 3.61
Ho 0.0000 0.5000 0.0000 (multiplicity 1)  8 Nd 3.51-3.52, 4 Sc 3.61
Ho 0.5000 0.0000 0.5000 (multiplicity 1)  8 Nd 3.58, 4 Er 3.61
Er 0.0000 0.5000 0.5000 (multiplicity 1)  8 Nd 3.58, 4 Ho 3.61
Sc 0.5000 0.0000 0.0000 (multiplicity 1)  8 Nd 3.51-3.52, 4 Ho 3.61

Results
Total energy: -38.9 eV/f.u.
Volume: 256.5 Å³/cell
Energy relative to the elements: 0.232 eV per formula unit

# 3
The following is a DFT calculation (PBE) of a relaxed Li5Ca3Pb2 crystal.

Lattice parameters (Å, degrees): 11.5356 14.0620 6.7071 90.00 90.00 90.00
With the nearest neighbours (Å) after each atom.
Space group Ibam (No. 72)
Inequivalent atoms, fractional coordinates:
Li 0.0000 0.0000 0.2500 (multiplicity 4)  4 Li 2.75
Li 0.0000 0.2715 0.2500 (multiplicity 8)  2 Li 2.80, 2 Pb 2.90
Li 0.0968 0.1330 0.0000 (multiplicity 8)  1 Pb 2.69, 4 Li 2.75-2.80
Ca 0.0000 0.5000 0.2500 (multiplicity 4)  4 Pb 3.20, 2 Li 3.21, 2 Ca 3.35
Ca 0.2342 0.1332 0.5000 (multiplicity 8)  3 Pb 3.35-3.53, 8 Li 3.69-3.74
Pb 0.1704 0.3654 0.5000 (multiplicity 8)  3 Li 2.69-2.90

Results
Total energy: -25.0 eV/f.u.
Volume: 1088.0 Å³/cell
Energy relative to the elements: -1.972 eV per formula unit

# 4
The following is a DFT calculation (PBE) of a relaxed Sr2BeCd crystal.

Lattice parameters (Å, degrees): 4.9532 4.5547 6.2072 90.00 113.42 90.00
With the nearest neighbours (Å) after each atom.
Space group Pm (No. 6)
Inequivalent atoms, fractional coordinates:
Sr 0.0000 0.0000 0.0000 (multiplicity 1)  3 Be 3.30-3.51, 4 Cd 3.54-3.55
Sr 0.2920 0.5000 0.5832 (multiplicity 1)  3 Cd 3.31-3.50, 4 Be 3.54-3.56
Be 0.6901 0.0000 0.3846 (multiplicity 1)  2 Cd 2.52
Cd 0.5991 0.5000 0.1968 (multiplicity 1)  2 Be 2.52

Results
Total energy: -7.7 eV/f.u.
Volume: 128.5 Å³/cell
Energy relative to the elements: 0.290 eV per formula unit
ΔE to the lowest computed polymorph: 0 meV/atom